1.
Here is a relaxed AcAl3Au3 crystal from the Alexandria database. Energies are from PBE-GGA.

```
AcAl3Au3
1.0
7.003 0.000 0.000
0.000 7.003 0.000
0.000 0.000 7.003
Al Ac Au
6 2 6
Direct
0.750 0.500 0.000 Al
0.000 0.750 0.500 Al
0.000 0.250 0.500 Al
0.250 0.500 0.000 Al
0.500 0.000 0.750 Al
0.500 0.000 0.250 Al
0.000 0.000 0.000 Ac
0.500 0.500 0.500 Ac
0.500 0.750 0.000 Au
0.250 0.000 0.500 Au
0.000 0.500 0.250 Au
0.000 0.500 0.750 Au
0.500 0.250 0.000 Au
0.750 0.000 0.500 Au
```

Results
Relative energy among the computed polymorphs   1.37 eV/f.u.
Uncorrected energy   -27.92 eV per formula unit
Magnetic moment   0.000 μB per atom
Calculated formation energy   -38 kJ/mol of atoms

---

2.
Here is a relaxed BeSiRu2 crystal from the Alexandria database. Energies are from PBE-GGA.

```
BeSiRu2
1.0
-4.158 -2.672 0.093
-1.165 -3.060 -3.703
3.366 1.197 3.416
Be Ru Si
1 2 1
Direct
0.752 0.252 0.500 Be
0.993 0.993 0.000 Ru
0.252 0.752 0.500 Ru
0.503 0.503 0.000 Si
```

Results
Relative energy among the computed polymorphs   1.05 eV/f.u.
Uncorrected energy   -28.88 eV per formula unit
Formation energy (no corrections)   -1.18 eV per formula unit
Magnetic moment   0.000 μB per atom

---

3.
Here is a relaxed Ba2ScMo crystal from the Alexandria database. Energies are from PBE-GGA.

```
Ba2ScMo
1.0
-3.110 -5.510 0.351
0.400 -1.695 6.093
-2.313 4.816 -3.409
Ba Sc Mo
2 1 1
Direct
0.027 0.027 0.000 Ba
0.710 0.210 0.500 Ba
0.327 0.827 0.500 Sc
0.437 0.437 0.000 Mo
```

Results
Relative energy among the computed polymorphs   0.83 eV/f.u.
Uncorrected energy   -18.02 eV per formula unit
Magnetic moment   0.347 μB per atom
Calculated formation energy   72 kJ/mol of atoms

---

4.
Here is a relaxed Pd5PbAu2 crystal from the Alexandria database. Energies are from PBE-GGA.

```
Pd5PbAu2
1.0
-2.149 -4.176 -0.354
3.586 -1.617 -2.590
2.125 0.999 6.596
Pd Au Pb
5 2 1
Direct
0.624 0.124 0.249 Pd
0.124 0.624 0.249 Pd
0.500 0.500 0.000 Pd
0.876 0.376 0.751 Pd
0.376 0.876 0.751 Pd
0.257 0.257 0.513 Au
0.743 0.743 0.487 Au
0.000 0.000 0.000 Pb
```

Results
Relative energy among the computed polymorphs   0.00 eV/f.u.
Uncorrected energy   -37.55 eV per formula unit
Magnetic moment   0.000 μB per atom
Calculated formation energy   -16 kJ/mol of atoms

---

Copy entry 4 word for word.
Here is a relaxed Pd5PbAu2 crystal from the Alexandria database. Energies are from PBE-GGA.

```
Pd5PbAu2
1.0
-2.149 -4.176 -0.354
3.586 -1.617 -2.590
2.125 0.999 6.596
Pd Au Pb
5 2 1
Direct
0.624 0.124 0.249 Pd
0.124 0.624 0.249 Pd
0.500 0.500 0.000 Pd
0.876 0.376 0.751 Pd
0.376 0.876 0.751 Pd
0.257 0.257 0.513 Au
0.743 0.743 0.487 Au
0.000 0.000 0.000 Pb
```

Results
Relative energy among the computed polymorphs   0.00 eV/f.u.
Uncorrected energy   -37.55 eV per formula unit
Magnetic moment   0.000 μB per atom
Calculated formation energy   -16 kJ/mol of atoms

---

The lowest relative energy among the computed polymorphs belongs to which entry?
Pd5PbAu2